[1]
A relaxed Mg2ZrCl crystal, computed with PBE-GGA.

a = 3.1160 Å, b = 4.8645 Å, c = 5.7214 Å
α = 90.00°, β = 90.00°, γ = 90.00°
Element x y z (fractional)
Zr  0.5000  0.0000  0.5000
Cl  0.0000  0.5000  0.5000
Mg  0.5000  0.5000  0.0000
Mg  0.0000  0.0000  0.0000

Computed properties:
ΔE_f (raw)   -13.4 kJ/mol of atoms
Symmetry   No. 47


[2]
A relaxed Mg2ZrCl crystal, computed with PBE-GGA.

a = 4.9906 Å, b = 4.9906 Å, c = 4.9906 Å
α = 60.00°, β = 60.00°, γ = 60.00°
Each line ends with the local moment (μB).
Element x y z (fractional)
Mg  0.7500  0.7500  0.7500  0.00
Mg  0.0000  0.0000  0.0000  0.00
Zr  0.2500  0.2500  0.2500  0.08
Cl  0.5000  0.5000  0.5000  0.01

Computed properties:
ΔE_f (raw)   16.3 kJ/mol of atoms
Symmetry   No. 216


[3]
A relaxed MgZrCl2 crystal, computed with PBE-GGA.

a = 4.4891 Å, b = 3.3313 Å, c = 5.7566 Å
α = 93.07°, β = 90.00°, γ = 90.00°
Element x y z (fractional)
Zr  0.5000  0.7500  0.7500
Mg  0.5000  0.2500  0.2500
Cl  0.0000  0.9388  0.9893
Cl  0.0000  0.5612  0.5107

Computed properties:
ΔE_f (raw)   -69.0 kJ/mol of atoms
Symmetry   No. 10


[4]
A relaxed MgZrCl crystal, computed with PBE-GGA.

a = 3.3428 Å, b = 3.3428 Å, c = 7.0628 Å
α = 90.00°, β = 90.00°, γ = 120.00°
Each line ends with the local moment (μB).
Element x y z (fractional)
Zr  0.3333  0.6667  0.6920  0.23
Mg  0.6667  0.3333  0.3568  0.02
Cl  0.0000  0.0000  0.9513  0.00

Computed properties:
ΔE_f (raw)   -63.3 kJ/mol of atoms
Symmetry   No. 156


[5]
A relaxed Mg2ZrCl crystal, computed with PBE-GGA.

a = 3.2321 Å, b = 3.2321 Å, c = 9.0841 Å
α = 90.00°, β = 90.00°, γ = 113.77°
Element x y z (fractional)
Cl  0.5000  0.5000  0.7500
Zr  0.5000  0.5000  0.2500
Mg  0.0000  0.0000  0.5207
Mg  0.0000  0.0000  0.9793

Computed properties:
ΔE_f (raw)   -40.4 kJ/mol of atoms
Symmetry   No. 65


[6]
A relaxed MgZrCl2 crystal, computed with PBE-GGA.

a = 5.1946 Å, b = 5.1946 Å, c = 3.1677 Å
α = 90.00°, β = 90.00°, γ = 106.46°
Element x y z (fractional)
Mg  0.5000  0.0000  0.5000
Zr  0.0000  0.5000  0.5000
Cl  0.0000  0.0000  0.0000
Cl  0.5000  0.5000  0.0000

Computed properties:
ΔE_f (raw)   -36.4 kJ/mol of atoms
Symmetry   No. 65